A plane-wave DFT calculation with GGA-PBE was carried out for an optimized crystal structure of Sc2BeZn6Cu.

Cell: 6.0849 6.0903 6.2831 Å, 61.28 89.78 60.04°
Space group P-1 (No. 2)
Asymmetric unit:
Sc  0.2055  0.0870  0.1238 (multiplicity 2)
Be  0.0000  0.5000  0.5000 (multiplicity 1)
Zn  0.2383  0.5860  0.6617 (multiplicity 2)
Zn  0.2409  0.0137  0.6695 (multiplicity 2)
Zn  0.3305  0.4098  0.3446 (multiplicity 2)
Cu  0.5000  0.5000  0.0000 (multiplicity 1)

Properties
**Formation enthalpy at 0 K**: -2.4 kJ/mol of atoms
**Total magnetic moment**: 0.00 μB/f.u.

---

A plane-wave DFT calculation with GGA-PBE was carried out for an optimized crystal structure of BeCuSe4.

Cell: 7.9554 7.9554 7.9554 Å, 90.00 90.00 90.00°
Space group F-43m (No. 216)
Asymmetric unit:
Be  0.0000  0.0000  0.0000 (multiplicity 4)
Cu  0.2500  0.2500  0.2500 (multiplicity 4)
Se  0.1257  0.1257  0.6257 (multiplicity 16)

Properties
**Formation energy without anion corrections**: 5.9 eV per formula unit
**Total magnetic moment**: 0.00 μB/f.u.

---

A plane-wave DFT calculation with GGA-PBE was carried out for an optimized crystal structure of BeCu4Se.

Cell: 6.8763 6.8763 6.8763 Å, 90.00 90.00 90.00°
Space group F-43m (No. 216)
Asymmetric unit:
Be  0.0000  0.0000  0.0000 (multiplicity 4)
Cu  0.1258  0.1258  0.6258 (multiplicity 16)
Se  0.2500  0.2500  0.2500 (multiplicity 4)

Properties
**Formation energy without anion corrections**: 1.9 eV per formula unit
**Total magnetic moment**: 0.00 μB/f.u.

---

A plane-wave DFT calculation with GGA-PBE was carried out for an optimized crystal structure of BeCuSe3.

Cell: 4.5776 4.5776 4.5776 Å, 90.00 90.00 90.00°
Space group Pm-3m (No. 221)
Asymmetric unit:
Be  0.0000  0.0000  0.0000 (multiplicity 1)
Cu  0.5000  0.5000  0.5000 (multiplicity 1)
Se  0.0000  0.0000  0.5000 (multiplicity 3)

Properties
**Formation energy without anion corrections**: 2.6 eV per formula unit
**Total magnetic moment**: 0.00 μB/f.u.

---

A plane-wave DFT calculation with GGA-PBE was carried out for an optimized crystal structure of BeCuSe3.

Cell: 4.7577 4.7577 4.7577 Å, 90.00 90.00 90.00°
Space group Pm-3m (No. 221)
Asymmetric unit:
Be  0.0000  0.0000  0.0000 (multiplicity 1)
Cu  0.5000  0.5000  0.5000 (multiplicity 1)
Se  0.0000  0.5000  0.5000 (multiplicity 3)

Properties
**Formation energy without anion corrections**: 4.3 eV per formula unit
**Total magnetic moment**: 0.00 μB/f.u.

---

A plane-wave DFT calculation with GGA-PBE was carried out for an optimized crystal structure of Be3CuSe.

Cell: 4.1353 4.1353 4.1353 Å, 90.00 90.00 90.00°
Space group Pm-3m (No. 221)
Asymmetric unit:
Be  0.0000  0.0000  0.5000 (multiplicity 3)
Cu  0.0000  0.0000  0.0000 (multiplicity 1)
Se  0.5000  0.5000  0.5000 (multiplicity 1)

Properties
**Formation energy without anion corrections**: 3.5 eV per formula unit
**Total magnetic moment**: 0.00 μB/f.u.

---

A plane-wave DFT calculation with GGA-PBE was carried out for an optimized crystal structure of BeCuSi2Se.

Cell: 4.9681 4.9681 4.3867 Å, 90.00 90.00 90.00°
Space group P4/mmm (No. 123)
Asymmetric unit:
Be  0.0000  0.0000  0.0000 (multiplicity 1)
Cu  0.5000  0.5000  0.0000 (multiplicity 1)
Si  0.0000  0.5000  0.5000 (multiplicity 2)
Se  0.5000  0.5000  0.5000 (multiplicity 1)

Properties
**Formation energy without anion corrections**: 6.5 eV per formula unit
**Total magnetic moment**: 0.00 μB/f.u.

---

A plane-wave DFT calculation with GGA-PBE was carried out for an optimized crystal structure of BeCuW2Se.

Cell: 4.6884 4.6884 3.6958 Å, 90.00 90.00 90.00°
Space group P4/mmm (No. 123)
Asymmetric unit:
Be  0.0000  0.0000  0.0000 (multiplicity 1)
Cu  0.0000  0.0000  0.5000 (multiplicity 1)
W  0.0000  0.5000  0.5000 (multiplicity 2)
Se  0.5000  0.5000  0.0000 (multiplicity 1)

Properties
**Formation energy without anion corrections**: 7.2 eV per formula unit
**Total magnetic moment**: 1.38 μB/f.u.

---

A plane-wave DFT calculation with GGA-PBE was carried out for an optimized crystal structure of YBeCuSe2.

Cell: 4.4676 4.4676 5.0571 Å, 90.00 90.00 90.00°
Space group P4/mmm (No. 123)
Asymmetric unit:
Y  0.0000  0.0000  0.0000 (multiplicity 1)
Be  0.0000  0.0000  0.5000 (multiplicity 1)
Cu  0.5000  0.5000  0.0000 (multiplicity 1)
Se  0.0000  0.5000  0.5000 (multiplicity 2)

Properties
**Formation energy without anion corrections**: 0.4 eV per formula unit
**Total magnetic moment**: 0.00 μB/f.u.

---

A plane-wave DFT calculation with GGA-PBE was carried out for an optimized crystal structure of Be2Cu5Si.

Cell: 3.8374 11.3893 4.5802 Å, 90.00 114.55 90.00°
Space group P2_1/m (No. 11)
Asymmetric unit:
Be  0.2479  0.0695  0.4961 (multiplicity 4)
Cu  0.0989  0.5977  0.1968 (multiplicity 4)
Cu  0.1176  0.2500  0.2343 (multiplicity 2)
Cu  0.4047  0.5930  0.8097 (multiplicity 4)
Si  0.4004  0.2500  0.8021 (multiplicity 2)

Properties
**Formation energy without anion corrections**: -0.3 eV per formula unit
**Total magnetic moment**: 0.00 μB/f.u.

---

A plane-wave DFT calculation with GGA-PBE was carried out for an optimized crystal structure of BeCuSi3.

Cell: 4.4732 4.4732 4.4732 Å, 90.00 90.00 90.00°
Space group Pm-3m (No. 221)
Asymmetric unit:
Be  0.0000  0.0000  0.0000 (multiplicity 1)
Cu  0.5000  0.5000  0.5000 (multiplicity 1)
Si  0.0000  0.5000  0.5000 (multiplicity 3)

Properties
**Formation energy without anion corrections**: 5.4 eV per formula unit
**Total magnetic moment**: 0.00 μB/f.u.

---

A plane-wave DFT calculation with GGA-PBE was carried out for an optimized crystal structure of BeCu3Si.

Cell: 4.0426 4.0426 4.0426 Å, 90.00 90.00 90.00°
Space group Pm-3m (No. 221)
Asymmetric unit:
Be  0.0000  0.0000  0.0000 (multiplicity 1)
Cu  0.0000  0.0000  0.5000 (multiplicity 3)
Si  0.5000  0.5000  0.5000 (multiplicity 1)

Properties
**Formation energy without anion corrections**: 2.6 eV per formula unit
**Total magnetic moment**: 0.00 μB/f.u.

---

Let's list raw total energy in order: -2.8381; -2.6486; -3.6198; -3.1408; -2.8046; -3.0548; -3.1258; -6.0054; -4.1775; -4.2085; -3.7285; -3.7605 eV per atom.